# 1
## KScTiI2 (GGA-PBE)

Data for KScTiI2 after structural relaxation.

Values from the calculation:
E, eV/atom: -3.707
Calculated volume, Å³/atom: 33.2
Total magnetic moment, μB/f.u.: 0.00

abc: 5.791 5.791 4.943
angles: 90.00 90.00 90.00
Space group P4/mmm (No. 123)
Asymmetric unit:
K  0.000  0.000  0.000 [1 per cell]
Sc  0.500  0.500  0.000 [1 per cell]
Ti  0.500  0.500  0.500 [1 per cell]
I  0.000  0.500  0.500 [2 per cell]

***

# 2
## Sr3SiO (GGA-PBE)

Data for Sr3SiO after structural relaxation.

Values from the calculation:
E, eV/atom: -4.409
Calculated volume, Å³/atom: 26.1
Total magnetic moment, μB/f.u.: 0.00

abc: 7.202 10.149 7.155
angles: 90.00 90.00 90.00
Space group Pnma (No. 62)
Asymmetric unit:
Sr  0.011  0.250  0.064 [4 per cell]
Sr  0.217  0.033  0.716 [8 per cell]
Si  0.029  0.750  0.493 [4 per cell]
O  0.000  0.000  0.000 [4 per cell]

***

# 3
## PRh (GGA-PBE)

Data for PRh after structural relaxation.

Values from the calculation:
ΔH_f (0 K), eV per atom: -0.47
Calculated volume, Å³/atom: 13.8
Total magnetic moment, μB/f.u.: 0.00

abc: 3.095 4.479 3.988
angles: 90.00 90.00 90.00
Space group Pmmn (No. 59, origin choice 2)
Asymmetric unit:
P  0.250  0.250  0.124 [2 per cell]
Rh  0.250  0.750  0.337 [2 per cell]

***

# 4
## Nd8Dy6Ho (GGA-PBE)

Data for Nd8Dy6Ho after structural relaxation.

Values from the calculation:
ΔH_f (0 K), eV per atom: 0.12
Calculated volume, Å³/atom: 33.8
Total magnetic moment, μB/f.u.: 0.00
Energy relative to the lowest polymorph listed for this composition, meV/atom: 0

abc: 9.1546 9.1546 20.9428
angles: 90.00 90.00 120.00
Space group R-3 (No. 148, hexagonal axes)
Asymmetric unit:
Nd  0.0000  0.0000  0.0779 [6 per cell]
Nd  0.0809  0.5233  0.3065 [18 per cell]
Dy  0.0477  0.8024  0.2057 [18 per cell]
Ho  0.0000  0.0000  0.5000 [3 per cell]

***

# 5
## Re2TcCl (GGA-PBE)

Data for Re2TcCl after structural relaxation.

Values from the calculation:
Calculated volume, Å³/atom: 14.6
Total magnetic moment, μB/f.u.: 0.00
Energy relative to the lowest polymorph listed for this composition, meV/atom: 410

abc: 2.886 4.453 9.066
angles: 90.00 90.00 90.00
Space group Immm (No. 71)
Asymmetric unit:
Re  0.000  0.000  0.230 [4 per cell]
Tc  0.000  0.500  0.000 [2 per cell]
Cl  0.000  0.500  0.500 [2 per cell]

***

# 6
## TaMo4S10 (GGA-PBE)

Data for TaMo4S10 after structural relaxation.

Values from the calculation:
Calculated volume, Å³/atom: 20.7
Total magnetic moment, μB/f.u.: 0.00
Energy relative to the lowest polymorph listed for this composition, meV/atom: 409

abc: 4.357 7.192 10.588
angles: 106.89 97.70 96.61
Space group P1 (No. 1)
Asymmetric unit:
Ta  0.000  0.000  0.000 [1 per cell]
Mo  0.199  0.462  0.410 [1 per cell]
Mo  0.396  0.805  0.806 [1 per cell]
Mo  0.647  0.243  0.215 [1 per cell]
Mo  0.809  0.647  0.616 [1 per cell]
S  0.141  0.357  0.158 [1 per cell]
S  0.334  0.449  0.639 [1 per cell]
S  0.335  0.916  0.179 [1 per cell]
S  0.354  0.808  0.563 [1 per cell]
S  0.543  0.156  0.964 [1 per cell]
S  0.582  0.757  0.031 [1 per cell]
S  0.717  0.582  0.363 [1 per cell]
S  0.938  0.631  0.846 [1 per cell]
S  0.939  0.148  0.380 [1 per cell]
S  0.968  0.983  0.758 [1 per cell]

***

# 7
## TlIn2Cu (GGA-PBE)

Data for TlIn2Cu after structural relaxation.

Values from the calculation:
ΔH_f (0 K), eV per atom: 0.10
Calculated volume, Å³/atom: 24.4
Total magnetic moment, μB/f.u.: 0.00

abc: 3.5520 3.5520 26.8267
angles: 90.00 90.00 120.00
Space group R-3m (No. 166, hexagonal axes)
Asymmetric unit:
Tl  0.0000  0.0000  0.0000 [3 per cell]
In  0.0000  0.0000  0.2335 [6 per cell]
Cu  0.0000  0.0000  0.5000 [3 per cell]

***

# 8
## Fe2SiPt (GGA-PBE)

Data for Fe2SiPt after structural relaxation.

Values from the calculation:
E, eV/atom: -7.367
Calculated volume, Å³/atom: 12.8
Total magnetic moment, μB/f.u.: 5.24

abc: 5.901 5.901 5.901
angles: 90.00 90.00 90.00
Space group F-43m (No. 216)
Asymmetric unit:
Fe  0.000  0.000  0.000 [4 per cell]
Fe  0.250  0.250  0.250 [4 per cell]
Si  0.000  0.000  0.500 [4 per cell]
Pt  0.250  0.250  0.750 [4 per cell]

***

# 9
## Cu2PdAuSe (GGA-PBE)

Data for Cu2PdAuSe after structural relaxation.

Values from the calculation:
E, eV/atom: -3.168
Calculated volume, Å³/atom: 21.7
Total magnetic moment, μB/f.u.: 0.00

abc: 4.639 4.639 5.040
angles: 90.00 90.00 90.00
Space group P4/mmm (No. 123)
Asymmetric unit:
Cu  0.000  0.500  0.000 [2 per cell]
Pd  0.000  0.000  0.000 [1 per cell]
Au  0.000  0.000  0.500 [1 per cell]
Se  0.500  0.500  0.500 [1 per cell]

***

# 10
## TmIn5 (GGA-PBE)

Data for TmIn5 after structural relaxation.

Values from the calculation:
ΔH_f (0 K), eV per atom: -0.17
Calculated volume, Å³/atom: 25.5
Total magnetic moment, μB/f.u.: 0.00

abc: 4.603 14.641 4.547
angles: 90.00 90.00 90.00
Space group Cmmm (No. 65)
Asymmetric unit:
Tm  0.000  0.000  0.000 [2 per cell]
In  0.000  0.167  0.500 [4 per cell]
In  0.000  0.337  0.000 [4 per cell]
In  0.000  0.500  0.500 [2 per cell]

***

# 11
## Ca3Pr2SmTe6 (GGA-PBE)

Data for Ca3Pr2SmTe6 after structural relaxation.

Values from the calculation:
E, eV/atom: -4.775
Calculated volume, Å³/atom: 32.3
Total magnetic moment, μB/f.u.: 0.00

abc: 19.768 4.462 9.084
angles: 90.00 104.85 90.00
Space group C2/m (No. 12)
Asymmetric unit:
Ca  0.000  0.000  0.000 [2 per cell]
Ca  0.168  0.500  0.335 [4 per cell]
Pr  0.169  0.500  0.838 [4 per cell]
Sm  0.000  0.000  0.500 [2 per cell]
Te  0.001  0.500  0.251 [4 per cell]
Te  0.164  0.000  0.090 [4 per cell]
Te  0.166  0.000  0.579 [4 per cell]

***

# 12
## EuYCuSn (GGA-PBE)

Data for EuYCuSn after structural relaxation.

Values from the calculation:
ΔH_f (0 K), eV per atom: -0.42
Calculated volume, Å³/atom: 25.9
Total magnetic moment, μB/f.u.: 7.27

abc: 7.454 7.454 7.454
angles: 90.00 90.00 90.00
Space group F-43m (No. 216)
Asymmetric unit:
Eu  0.000  0.000  0.000 [4 per cell]
Y  0.000  0.000  0.500 [4 per cell]
Cu  0.250  0.250  0.750 [4 per cell]
Sn  0.250  0.250  0.250 [4 per cell]

***

Which formula does entry 5 have?
Re2TcCl